Entry from the Alexandria database: a relaxed structure of Zr4Tl5 (GGA-PBE).

Computed properties:
Formation energy from the elements   0.124 eV/atom
Total moment   0.00 μB per formula unit
ΔE to the lowest computed polymorph   137 meV per atom
Calculated volume   25.126 A^3/atom

Geometry as POSCAR:
```
Zr4Tl5
1.0
-4.436 4.436 2.873
4.436 -4.436 2.873
4.436 4.436 -2.873
Zr Tl
4 5
Direct
0.050 0.345 0.395
0.345 0.950 0.296
0.655 0.050 0.704
0.950 0.655 0.605
0.000 0.000 0.000
0.285 0.618 0.903
0.382 0.285 0.668
0.618 0.715 0.332
0.715 0.382 0.097
```

=====

Entry from the Alexandria database: a relaxed structure of ZrTl (GGA-PBE).

Computed properties:
Formation energy from the elements   0.090 eV/atom
Total moment   0.00 μB per formula unit
Calculated volume   24.164 A^3/atom

Geometry as POSCAR:
```
ZrTl
1.0
3.930 0.000 0.000
0.000 3.930 0.000
0.000 0.000 6.257
Zr Tl
2 2
Direct
0.250 0.250 0.120
0.750 0.750 0.880
0.250 0.250 0.631
0.750 0.750 0.369
```

=====

Entry from the Alexandria database: a relaxed structure of Zr3Tl2 (GGA-PBE).

Computed properties:
Formation energy from the elements   -0.036 eV/atom
Total moment   0.00 μB per formula unit
ΔE to the lowest computed polymorph   0 meV per atom
Calculated volume   23.452 A^3/atom

Geometry as POSCAR:
```
Zr3Tl2
1.0
0.000 7.346 3.045
5.243 0.000 3.045
5.243 7.346 0.000
Zr Tl
6 4
Direct
0.000 0.000 0.000
0.250 0.250 0.250
0.374 0.691 0.426
0.691 0.374 0.510
0.740 0.824 0.559
0.824 0.740 0.876
0.160 0.485 0.942
0.308 0.837 0.090
0.485 0.160 0.413
0.837 0.308 0.765
```

=====

Entry from the Alexandria database: a relaxed structure of ZrTl3 (GGA-PBE).

Computed properties:
Formation energy from the elements   0.080 eV/atom
Total moment   0.00 μB per formula unit
Calculated volume   25.362 A^3/atom

Geometry as POSCAR:
```
ZrTl3
1.0
3.226 -4.695 0.000
3.226 4.695 0.000
0.000 0.000 3.349
Zr Tl
1 3
Direct
0.000 0.000 0.000
0.000 0.500 0.500
0.500 0.000 0.500
0.500 0.500 0.000
```

=====

Entry from the Alexandria database: a relaxed structure of Zr3Tl (GGA-PBE).

Computed properties:
Formation energy from the elements   -0.013 eV/atom
Total moment   0.00 μB per formula unit
Calculated volume   23.082 A^3/atom

Geometry as POSCAR:
```
Zr3Tl
1.0
5.308 -1.631 0.000
5.308 1.631 0.000
-1.129 0.000 5.331
Zr Tl
3 1
Direct
0.000 0.000 0.000
0.244 0.244 0.743
0.756 0.756 0.257
0.500 0.500 0.500
```

=====

Entry from the Alexandria database: a relaxed structure of Zr3Tl (GGA-PBE).

Computed properties:
Formation energy from the elements   -0.016 eV/atom
Total moment   0.00 μB per formula unit
Calculated volume   23.182 A^3/atom

Geometry as POSCAR:
```
Zr3Tl
1.0
5.714 0.000 0.000
0.000 10.376 0.000
0.000 0.000 6.256
Zr Tl
12 4
Direct
0.046 0.250 0.131
0.230 0.508 0.367
0.230 0.992 0.367
0.270 0.008 0.867
0.270 0.492 0.867
0.454 0.750 0.631
0.546 0.250 0.369
0.730 0.508 0.133
0.730 0.992 0.133
0.770 0.008 0.633
0.770 0.492 0.633
0.954 0.750 0.869
0.078 0.250 0.617
0.422 0.750 0.117
0.578 0.250 0.883
0.922 0.750 0.383
```

=====

- What is the calculated volume in the first record?
  25.126 A^3/atom

=====

- Which value of formation energy from the elements does entry 4 give?
  0.080 eV/atom

=====

- What is the formation energy from the elements in the first record?
  0.124 eV/atom

=====

- Among the records above, which one has the lowest formation energy from the elements?
  Zr3Tl2